A relaxed Mg2NiPb crystal. Source: Alexandria via LeMat-Bulk, functional GGA-PBE.

## Properties
E_form (eV/atom): -0.074
Energy (eV/atom): -3.24
SG: P2/m

a b c (Å): 3.2996 3.1516 8.3601
angles (deg): 67.74 90.00 90.00
Positions (direct):
Mg 0.0000 0.5605 0.4376
Pb 0.5000 0.7500 0.7500
Ni 0.5000 0.2500 0.2500
Mg 0.0000 0.9395 0.0624